[1]
Below is a relaxed structure of InAgSnAu, with properties calculated at the PBE-GGA level.

a = 7.048 Å, b = 7.048 Å, c = 7.048 Å
α = 90.00°, β = 90.00°, γ = 90.00°
Space group F-43m (No. 216)
Symmetry-distinct sites (fractional):
1 In 0.000 0.000 0.000 x4
2 Ag 0.250 0.250 0.750 x4
3 Sn 0.000 0.000 0.500 x4
4 Au 0.250 0.250 0.250 x4

Calculated values
Its total energy is -3.22 eV per atom. For the calculated volume, the calculation gives 21.88 Å³/atom. As for the formation energy: 0.00 eV per atom.

***

[2]
Below is a relaxed structure of SrAs2C, with properties calculated at the PBE-GGA level.

a = 6.675 Å, b = 6.675 Å, c = 7.543 Å
α = 90.00°, β = 90.00°, γ = 90.00°
Space group I-42d (No. 122)
Symmetry-distinct sites (fractional):
1 Sr 0.000 0.000 0.000 x4
2 As 0.126 0.250 0.625 x8
3 C 0.000 0.000 0.500 x4

Calculated values
Its total energy is -4.91 eV per atom. For the calculated volume, the calculation gives 21.00 Å³/atom. As for the formation energy: 0.14 eV per atom.

***

[3]
Below is a relaxed structure of TiPN3, with properties calculated at the PBE-GGA level.

a = 2.858 Å, b = 5.675 Å, c = 6.452 Å
α = 100.46°, β = 102.67°, γ = 90.98°
Space group P-1 (No. 2)
Symmetry-distinct sites (fractional):
1 Ti 0.192 0.308 0.319 x2
2 P 0.422 0.213 0.824 x2
3 N 0.003 0.746 0.030 x2
4 N 0.349 0.411 0.661 x2
5 N 0.359 0.932 0.698 x2

Calculated values
Its total energy is -8.44 eV per atom. For the calculated volume, the calculation gives 10.02 Å³/atom. The raw formation energy comes out at -0.782 eV/atom.

***

[4]
Below is a relaxed structure of YZn2AsO2, with properties calculated at the PBE-GGA level.

a = 3.574 Å, b = 3.574 Å, c = 12.255 Å
α = 90.00°, β = 90.00°, γ = 90.00°
Space group P4/mmm (No. 123)
Symmetry-distinct sites (fractional):
1 Y 0.000 0.000 0.000 x1
2 Zn 0.000 0.000 0.312 x2
3 As 0.000 0.000 0.500 x1
4 O 0.000 0.000 0.169 x2

Calculated values
Its total energy is -4.50 eV per atom. For the calculated volume, the calculation gives 26.09 Å³/atom. The raw formation energy comes out at -0.566 eV/atom.

***

[5]
Below is a relaxed structure of Ho2ErMg4, with properties calculated at the PBE-GGA level.

a = 5.949 Å, b = 12.997 Å, c = 5.395 Å
α = 90.00°, β = 90.00°, γ = 90.00°
Space group Cmmm (No. 65)
Symmetry-distinct sites (fractional):
1 Ho 0.000 0.131 0.000 x4
2 Er 0.000 0.500 0.500 x2
3 Mg 0.000 0.259 0.500 x4
4 Mg 0.000 0.382 0.000 x4

Calculated values
Its total energy is -2.47 eV per atom. The value obtained for the energy above the most stable polymorph in this dataset is 1.77 eV per formula unit. For the calculated volume, the calculation gives 29.80 Å³/atom. As for the formation energy: 0.40 eV per atom.

***

[6]
Below is a relaxed structure of TaZnW2, with properties calculated at the PBE-GGA level.

a = 2.668 Å, b = 4.396 Å, c = 5.615 Å
α = 90.00°, β = 90.00°, γ = 90.00°
Space group Pmmm (No. 47)
Symmetry-distinct sites (fractional):
1 Ta 0.000 0.000 0.000 x1
2 Zn 0.000 0.000 0.500 x1
3 W 0.500 0.500 0.258 x2

Calculated values
Its total energy is -9.46 eV per atom. For the calculated volume, the calculation gives 16.46 Å³/atom. As for the formation energy: 0.30 eV per atom.

***

[7]
Below is a relaxed structure of BaMgSc2, with properties calculated at the PBE-GGA level.

a = 3.620 Å, b = 5.801 Å, c = 11.575 Å
α = 90.00°, β = 90.00°, γ = 90.00°
Space group Immm (No. 71)
Symmetry-distinct sites (fractional):
1 Ba 0.000 0.000 0.000 x2
2 Mg 0.000 0.000 0.500 x2
3 Sc 0.000 0.500 0.222 x4

Calculated values
Its total energy is -3.81 eV per atom. For the calculated volume, the calculation gives 30.39 Å³/atom. As for the formation energy: 0.23 eV per atom.

***

[8]
Below is a relaxed structure of Ho8In2Bi, with properties calculated at the PBE-GGA level.

a = 19.375 Å, b = 5.072 Å, c = 6.933 Å
α = 90.00°, β = 102.75°, γ = 90.00°
Space group C2/m (No. 12)
Symmetry-distinct sites (fractional):
1 Ho 0.026 0.000 0.253 x4
2 Ho 0.093 0.500 0.971 x4
3 Ho 0.159 0.500 0.482 x4
4 Ho 0.213 0.000 0.816 x4
5 In 0.186 0.000 0.251 x4
6 Bi 0.000 0.500 0.500 x2

Calculated values
Its total energy is -4.43 eV per atom. For the calculated volume, the calculation gives 30.21 Å³/atom. As for the formation energy: -0.25 eV per atom.

***

[9]
Below is a relaxed structure of Ti2CdAs, with properties calculated at the PBE-GGA level.

a = 7.253 Å, b = 7.253 Å, c = 5.740 Å
α = 90.00°, β = 90.00°, γ = 90.00°
Space group I-42d (No. 122)
Symmetry-distinct sites (fractional):
1 Ti 0.224 0.250 0.125 x8
2 Cd 0.000 0.000 0.500 x4
3 As 0.000 0.000 0.000 x4

Calculated values
Its total energy is -5.44 eV per atom. The value obtained for the energy above the most stable polymorph in this dataset is 0.01 eV per formula unit. For the calculated volume, the calculation gives 18.87 Å³/atom. As for the formation energy: -0.10 eV per atom.

***

[10]
Below is a relaxed structure of TcAgSn2Br, with properties calculated at the PBE-GGA level.

a = 5.289 Å, b = 5.289 Å, c = 5.386 Å
α = 90.00°, β = 90.00°, γ = 90.00°
Space group P4/mmm (No. 123)
Symmetry-distinct sites (fractional):
1 Tc 0.000 0.000 0.000 x1
2 Ag 0.000 0.000 0.500 x1
3 Sn 0.000 0.500 0.500 x2
4 Br 0.500 0.500 0.000 x1

Calculated values
Its total energy is -3.61 eV per atom. For the calculated volume, the calculation gives 30.13 Å³/atom. The raw formation energy comes out at 0.969 eV/atom.

***

[11]
Below is a relaxed structure of ZrTlP2, with properties calculated at the PBE-GGA level.

a = 3.538 Å, b = 3.757 Å, c = 13.426 Å
α = 90.00°, β = 90.00°, γ = 90.00°
Space group Imm2 (No. 44)
Symmetry-distinct sites (fractional):
1 Zr 0.000 0.000 0.000 x2
2 Tl 0.000 0.500 0.253 x2
3 P 0.000 0.000 0.448 x2
4 P 0.000 0.500 0.645 x2

Calculated values
Its total energy is -5.78 eV per atom. The value obtained for the energy above the most stable polymorph in this dataset is 0.66 eV per formula unit. For the calculated volume, the calculation gives 22.30 Å³/atom. As for the formation energy: -0.35 eV per atom.

***

[12]
Below is a relaxed structure of ThGeRh3, with properties calculated at the PBE-GGA level.

a = 6.288 Å, b = 6.316 Å, c = 4.878 Å
α = 90.00°, β = 90.00°, γ = 90.00°
Space group Pbam (No. 55)
Symmetry-distinct sites (fractional):
1 Th 0.000 0.000 0.000 x2
2 Ge 0.000 0.500 0.500 x2
3 Rh 0.000 0.500 0.000 x2
4 Rh 0.160 0.160 0.500 x4

Calculated values
Its total energy is -7.34 eV per atom. The value obtained for the energy above the most stable polymorph in this dataset is 0.55 eV per formula unit. For the calculated volume, the calculation gives 19.37 Å³/atom. As for the formation energy: -0.52 eV per atom.